1.
# TbZrGe | Alexandria via LeMat-Bulk | PBE-GGA | relaxed
data_TbZrGe
_symmetry_space_group_name_H-M 'P 3 m 1'
_symmetry_Int_Tables_number 156
_symmetry_space_group_name_Hall 'P 3 -2"'
_cell_length_a 4.6190
_cell_length_b 4.6190
_cell_length_c 3.9327
_cell_angle_alpha 90.00
_cell_angle_beta 90.00
_cell_angle_gamma 120.00
loop_
_atom_site_label
_atom_site_fract_x
_atom_site_fract_y
_atom_site_fract_z
Tb1 0.0000 0.0000 0.0000
Zr1 0.3333 0.6667 0.5117
Ge1 0.6667 0.3333 0.3922
# VASP energy   -6.21 eV/atom
# Formation enthalpy at 0 K   -0.279 eV/atom
# Total moment   0.00 Bohr magnetons per cell

2.
# TbZrGe | Alexandria via LeMat-Bulk | PBE-GGA | relaxed
data_TbZrGe
_symmetry_space_group_name_H-M 'I 4/m m m'
_symmetry_Int_Tables_number 139
_symmetry_space_group_name_Hall '-I 4 2'
_cell_length_a 4.155
_cell_length_b 4.155
_cell_length_c 16.121
_cell_angle_alpha 90.00
_cell_angle_beta 90.00
_cell_angle_gamma 90.00
loop_
_atom_site_label
_atom_site_fract_x
_atom_site_fract_y
_atom_site_fract_z
Tb1 0.000 0.000 0.178
Zr1 0.000 0.500 0.000
Ge1 0.000 0.000 0.370
# VASP energy   -6.63 eV/atom
# Formation enthalpy at 0 K   -0.694 eV/atom
# Total moment   1.43 Bohr magnetons per cell

DOS(E_F) values, unit states/eV per atom, following the record order: 0.8592; 1.2237.